# 1
LiTh2Tl3, relaxed, DFT GGA-PBE; VASP energy = -48.26 eV for the cell shown; formation enthalpy at 0 K = -0.279 eV per formula unit; offset from the most stable computed form = 124.6 meV per atom
1.0
3.453 0.000 0.000
0.000 6.618 0.000
-1.726 0.000 14.729
Tl Th Li
6 4 2
direct
0.416 0.502 0.832 Tl
0.763 0.750 0.526 Tl
0.584 0.002 0.168 Tl
0.584 0.498 0.168 Tl
0.416 0.998 0.832 Tl
0.237 0.250 0.474 Tl
0.164 0.750 0.329 Th
0.836 0.250 0.671 Th
0.000 0.750 0.001 Th
0.000 0.250 0.999 Th
0.339 0.750 0.677 Li
0.661 0.250 0.323 Li

***

# 2
Tc4RhAu, relaxed, DFT GGA-PBE; VASP energy = -49.62 eV for the cell shown; formation enthalpy at 0 K = 2.474 eV per formula unit
1.0
0.000 3.614 3.614
3.614 0.000 3.614
3.614 3.614 0.000
Tc Rh Au
4 1 1
direct
0.125 0.625 0.625 Tc
0.625 0.625 0.125 Tc
0.625 0.125 0.625 Tc
0.625 0.625 0.625 Tc
0.000 0.000 0.000 Rh
0.250 0.250 0.250 Au

***

# 3
TmTaSn2, relaxed, DFT GGA-PBE; VASP energy = -23.04 eV for the cell shown; formation enthalpy at 0 K = 1.292 eV per formula unit
1.0
3.187 0.000 0.000
1.593 2.760 0.000
1.593 0.920 11.145
Ta Sn Tm
1 2 1
direct
0.000 0.000 0.000 Ta
0.085 0.085 0.744 Sn
0.915 0.915 0.256 Sn
0.500 0.500 0.500 Tm

***

# 4
Co2Pt2Se, relaxed, DFT GGA-PBE; VASP energy = -57.74 eV for the cell shown; uncorrected formation energy = 0.182 eV per atom
1.0
6.163 0.000 0.000
0.000 6.163 0.000
0.000 0.000 3.869
Co Pt Se
4 4 2
direct
0.863 0.637 0.000 Co
0.363 0.863 0.000 Co
0.637 0.137 0.000 Co
0.137 0.363 0.000 Co
0.155 0.655 0.500 Pt
0.655 0.845 0.500 Pt
0.345 0.155 0.500 Pt
0.845 0.345 0.500 Pt
0.000 0.000 0.000 Se
0.500 0.500 0.000 Se

***

# 5
VGaPd3, relaxed, DFT GGA-PBE; VASP energy = -58.60 eV for the cell shown; formation enthalpy at 0 K = -1.575 eV per formula unit; offset from the most stable computed form = 0.0 meV per atom
1.0
2.824 -0.001 0.000
1.413 6.026 0.297
0.007 2.990 8.972
V Pd Ga
2 6 2
direct
0.851 0.872 0.161 V
0.838 0.889 0.898 V
0.511 0.546 0.077 Pd
0.177 0.215 0.982 Pd
0.465 0.637 0.759 Pd
0.935 0.700 0.473 Pd
0.223 0.124 0.300 Pd
0.753 0.061 0.587 Pd
0.558 0.454 0.358 Ga
0.130 0.306 0.701 Ga

***

# 6
Tb4Y3Er5, relaxed, DFT GGA-PBE; VASP energy = -57.74 eV for the cell shown; formation enthalpy at 0 K = 2.989 eV per formula unit; offset from the most stable computed form = 227.7 meV per atom
1.0
-4.425 3.382 -1.785
1.517 2.894 -7.858
-7.798 -5.537 -0.740
Y Tb Er
3 4 5
direct
0.000 0.500 0.500 Y
0.523 0.687 0.267 Y
0.477 0.313 0.733 Y
0.835 0.952 0.379 Tb
0.165 0.048 0.621 Tb
0.861 0.221 0.057 Tb
0.139 0.779 0.943 Tb
0.786 0.541 0.886 Er
0.500 0.500 0.500 Er
0.214 0.459 0.114 Er
0.372 0.056 0.200 Er
0.628 0.944 0.800 Er

***

# 7
SnHPd2, relaxed, DFT GGA-PBE; VASP energy = -37.58 eV for the cell shown; offset from the most stable computed form = 64.6 meV per atom
1.0
3.239 0.821 -0.437
1.361 7.249 0.972
-1.248 0.407 5.276
Pd H Sn
4 2 2
direct
0.546 0.344 0.042 Pd
0.576 0.002 0.414 Pd
0.048 0.843 0.042 Pd
0.077 0.502 0.415 Pd
0.941 0.048 0.227 H
0.441 0.547 0.227 H
0.564 0.672 0.728 Sn
0.064 0.172 0.728 Sn

***

# 8
Cs2NaHgPt, relaxed, DFT GGA-PBE; VASP energy = -7.31 eV for the cell shown; formation enthalpy at 0 K = 2.058 eV per formula unit; offset from the most stable computed form = 455.3 meV per atom
1.0
7.191 0.000 0.000
0.000 5.752 0.000
0.000 0.000 7.191
Pt Cs Na Hg
1 2 1 1
direct
0.500 0.500 0.500 Pt
0.500 0.000 0.000 Cs
0.000 0.000 0.500 Cs
0.000 0.500 0.000 Na
0.000 0.000 0.000 Hg

***

# 9
Ce2ZrO6, relaxed, DFT GGA-PBE; VASP energy = -161.03 eV for the cell shown; uncorrected formation energy = -3.372 eV per atom; offset from the most stable computed form = 8.7 meV per atom
1.0
-4.725 2.888 -3.551
-6.554 -0.548 0.129
-2.624 5.810 4.120
O Ce Zr
12 4 2
direct
0.915 0.753 0.085 O
0.913 0.745 0.585 O
0.407 0.266 0.597 O
0.760 0.595 0.927 O
0.255 0.087 0.415 O
0.088 0.894 0.751 O
0.106 0.912 0.249 O
0.582 0.413 0.244 O
0.247 0.085 0.915 O
0.405 0.240 0.073 O
0.587 0.418 0.756 O
0.734 0.593 0.403 O
0.833 0.167 0.500 Ce
0.165 0.501 0.331 Ce
0.837 0.163 0.000 Ce
0.499 0.835 0.669 Ce
0.164 0.498 0.836 Zr
0.502 0.836 0.164 Zr

***

# 10
Ni21Sn2As6, relaxed, DFT GGA-PBE; VASP energy = -161.58 eV for the cell shown; formation enthalpy at 0 K = -4.269 eV per formula unit
1.0
7.021 0.000 4.053
2.340 6.619 4.053
0.000 0.000 8.107
Ni As Sn
21 6 2
direct
0.380 0.861 0.380 Ni
0.353 0.000 0.647 Ni
0.620 0.620 0.620 Ni
0.000 0.000 0.353 Ni
0.647 0.000 0.353 Ni
0.353 0.000 0.000 Ni
0.000 0.647 0.000 Ni
0.647 0.353 0.000 Ni
0.620 0.620 0.139 Ni
0.139 0.620 0.620 Ni
0.000 0.353 0.647 Ni
0.380 0.380 0.861 Ni
0.000 0.000 0.647 Ni
0.353 0.647 0.000 Ni
0.620 0.139 0.620 Ni
0.000 0.353 0.000 Ni
0.000 0.647 0.353 Ni
0.861 0.380 0.380 Ni
0.380 0.380 0.380 Ni
0.000 0.000 0.000 Ni
0.647 0.000 0.000 Ni
0.736 0.264 0.736 As
0.264 0.264 0.736 As
0.736 0.736 0.264 As
0.264 0.736 0.736 As
0.736 0.264 0.264 As
0.264 0.736 0.264 As
0.750 0.750 0.750 Sn
0.250 0.250 0.250 Sn

***

# 11
TiCuTc2H, relaxed, DFT GGA-PBE; VASP energy = -26.25 eV for the cell shown; offset from the most stable computed form = 2047.9 meV per atom
1.0
-4.436 -0.527 -1.019
0.990 -3.744 -2.377
-0.564 -2.543 3.770
Cu Tc Ti H
1 2 1 1
direct
0.000 0.000 0.000 Cu
0.500 0.000 0.000 Tc
0.000 0.000 0.500 Tc
0.000 0.500 0.000 Ti
0.500 0.500 0.500 H

***

# 12
TbPr2Sm2Er, relaxed, DFT GGA-PBE; VASP energy = -55.67 eV for the cell shown; formation enthalpy at 0 K = 0.357 eV per formula unit
1.0
5.719 0.000 0.000
0.000 7.093 0.000
0.000 0.000 9.909
Sm Pr Er Tb
4 4 2 2
direct
0.500 0.758 0.668 Sm
0.000 0.258 0.836 Sm
0.500 0.258 0.332 Sm
0.000 0.758 0.164 Sm
0.500 0.008 0.000 Pr
0.500 0.508 0.000 Pr
0.000 0.758 0.822 Pr
0.000 0.258 0.178 Pr
0.000 0.008 0.500 Er
0.000 0.508 0.500 Er
0.500 0.758 0.342 Tb
0.500 0.258 0.658 Tb